No. 1
Compound: BaSrGdVO6
Source: Alexandria via LeMat-Bulk
Functional: PBE+U
Structure: optimized geometry

It has space group F-43m (No. 216), with a = 8.3376 Å, b = 8.3376 Å, c = 8.3376 Å, α = 90.00°, β = 90.00° and γ = 90.00°. Symmetry generates all atoms from Ba at (0.0000, 0.0000, 0.0000), Sr at (0.0000, 0.0000, 0.5000), Gd at (0.2500, 0.2500, 0.2500), V at (0.2500, 0.2500, 0.7500) and O at (0.0207, 0.2500, 0.7500).

Its density is 6.06 g/cm3. For the total DFT energy (no corrections), the calculation gives -8.19 eV/atom.

---

No. 2
Compound: Ba2GdWO6
Source: Alexandria via LeMat-Bulk
Functional: PBE+U
Structure: optimized geometry

It has space group Fm-3m (No. 225), with a = 8.5748 Å, b = 8.5748 Å, c = 8.5748 Å, α = 90.00°, β = 90.00° and γ = 90.00°. Symmetry generates all atoms from Ba at (0.2500, 0.2500, 0.2500), Gd at (0.0000, 0.0000, 0.0000), W at (0.0000, 0.0000, 0.5000) and O at (0.0000, 0.0000, 0.2660).

Its density is 7.50 g/cm3. For the total DFT energy (no corrections), the calculation gives -8.25 eV/atom.